--- a ---
VASP calculation (PBE) on a relaxed PdAu2 crystal.

Cell and atoms, written as CIF:
```
data_PdAu2
_chemical_formula_sum 'Pd2 Au4'
_cell_length_a 3.033
_cell_length_b 3.033
_cell_length_c 11.155
_cell_angle_alpha 90.00
_cell_angle_beta 90.00
_cell_angle_gamma 90.00
_space_group_name_H-M_alt 'I 4/m m m'
_space_group_IT_number 139
_space_group_name_Hall '-I 4 2'
loop_
_atom_site_label
_atom_site_type_symbol
_atom_site_fract_x
_atom_site_fract_y
_atom_site_fract_z
Pd1 Pd 0.000 0.000 0.000
Au1 Au 0.000 0.000 0.337
```



--- b ---
VASP calculation (PBE) on a relaxed PdAu2 crystal.

Cell and atoms, written as CIF:
```
data_PdAu2
_chemical_formula_sum 'Pd4 Au8'
_cell_length_a 9.005
_cell_length_b 4.130
_cell_length_c 5.757
_cell_angle_alpha 90.00
_cell_angle_beta 106.67
_cell_angle_gamma 90.00
_space_group_name_H-M_alt 'C 1 2/m 1'
_space_group_IT_number 12
_space_group_name_Hall '-C 2y'
loop_
_atom_site_label
_atom_site_type_symbol
_atom_site_fract_x
_atom_site_fract_y
_atom_site_fract_z
Pd1 Pd 0.167 0.000 0.333
Au1 Au 0.000 0.500 0.000
Au2 Au 0.000 0.500 0.500
Au3 Au 0.167 0.000 0.828
```



Here is how they stack up, most stable first: b, a.



--- a ---
VASP calculation (PBE) on a relaxed Pd3Au crystal.

Cell and atoms, written as CIF:
```
data_Pd3Au
_chemical_formula_sum 'Pd6 Au2'
_cell_length_a 4.686
_cell_length_b 5.610
_cell_length_c 4.862
_cell_angle_alpha 90.00
_cell_angle_beta 90.00
_cell_angle_gamma 90.00
_space_group_name_H-M_alt 'P m m n'
_space_group_IT_number 59
loop_
_space_group_symop_operation_xyz
'x,y,z'
'-x,-y,-z'
'-x+1/2,-y+1/2,z'
'x+1/2,y+1/2,-z'
'x+1/2,-y,-z'
'-x+1/2,y,z'
'-x,y+1/2,-z'
'x,-y+1/2,z'
loop_
_atom_site_label
_atom_site_type_symbol
_atom_site_fract_x
_atom_site_fract_y
_atom_site_fract_z
Pd1 Pd 0.250 0.001 0.165
Pd2 Pd 0.250 0.250 0.669
Au1 Au 0.250 0.750 0.666
```



--- b ---
VASP calculation (PBE) on a relaxed Pd3Au crystal.

Cell and atoms, written as CIF:
```
data_Pd3Au
_chemical_formula_sum 'Pd3 Au1'
_cell_length_a 3.991
_cell_length_b 3.991
_cell_length_c 3.973
_cell_angle_alpha 90.00
_cell_angle_beta 90.00
_cell_angle_gamma 90.00
_space_group_name_H-M_alt 'P 4/m m m'
_space_group_IT_number 123
_space_group_name_Hall '-P 4 2'
loop_
_atom_site_label
_atom_site_type_symbol
_atom_site_fract_x
_atom_site_fract_y
_atom_site_fract_z
Pd1 Pd 0.000 0.000 0.000
Pd2 Pd 0.000 0.500 0.500
Au1 Au 0.500 0.500 0.000
```



Here is how they stack up, most stable first: b, a.



--- a ---
VASP calculation (PBE) on a relaxed Pr3Si4Pd2Au2 crystal.

Cell and atoms, written as CIF:
```
data_Pr3Si4Pd2Au2
_chemical_formula_sum 'Pr6 Si8 Pd4 Au4'
_cell_length_a 4.271
_cell_length_b 4.290
_cell_length_c 24.722
_cell_angle_alpha 90.00
_cell_angle_beta 90.00
_cell_angle_gamma 90.00
_space_group_name_H-M_alt 'I m m m'
_space_group_IT_number 71
_space_group_name_Hall '-I 2 2'
loop_
_atom_site_label
_atom_site_type_symbol
_atom_site_fract_x
_atom_site_fract_y
_atom_site_fract_z
Pr1 Pr 0.000 0.000 0.000
Pr2 Pr 0.000 0.500 0.149
Si1 Si 0.000 0.000 0.452
Si2 Si 0.000 0.500 0.301
Pd1 Pd 0.000 0.000 0.249
Au1 Au 0.000 0.500 0.402
```



--- b ---
VASP calculation (PBE) on a relaxed Pr3Si4Pd2Au2 crystal.

Cell and atoms, written as CIF:
```
data_Pr3Si4Pd2Au2
_chemical_formula_sum 'Pr6 Si8 Pd4 Au4'
_cell_length_a 4.268
_cell_length_b 4.288
_cell_length_c 24.890
_cell_angle_alpha 90.00
_cell_angle_beta 90.00
_cell_angle_gamma 90.00
_space_group_name_H-M_alt 'I m m m'
_space_group_IT_number 71
_space_group_name_Hall '-I 2 2'
loop_
_atom_site_label
_atom_site_type_symbol
_atom_site_fract_x
_atom_site_fract_y
_atom_site_fract_z
Pr1 Pr 0.000 0.000 0.000
Pr2 Pr 0.000 0.500 0.146
Si1 Si 0.000 0.000 0.452
Si2 Si 0.000 0.500 0.310
Pd1 Pd 0.000 0.500 0.406
Au1 Au 0.000 0.000 0.249
```



Here is how they stack up, most stable first: a, b.



--- a ---
VASP calculation (PBE) on a relaxed PrSm2Si4Pd2Au2 crystal.

Cell and atoms, written as CIF:
```
data_PrSm2Si4Pd2Au2
_chemical_formula_sum 'Pr2 Sm4 Si8 Pd4 Au4'
_cell_length_a 4.223
_cell_length_b 4.263
_cell_length_c 24.677
_cell_angle_alpha 90.00
_cell_angle_beta 90.00
_cell_angle_gamma 90.00
_space_group_name_H-M_alt 'I m m m'
_space_group_IT_number 71
_space_group_name_Hall '-I 2 2'
loop_
_atom_site_label
_atom_site_type_symbol
_atom_site_fract_x
_atom_site_fract_y
_atom_site_fract_z
Pr1 Pr 0.000 0.000 0.000
Sm1 Sm 0.000 0.500 0.149
Si1 Si 0.000 0.000 0.452
Si2 Si 0.000 0.500 0.302
Pd1 Pd 0.000 0.000 0.250
Au1 Au 0.000 0.500 0.401
```



--- b ---
VASP calculation (PBE) on a relaxed PrSm2Si4Pd2Au2 crystal.

Cell and atoms, written as CIF:
```
data_PrSm2Si4Pd2Au2
_chemical_formula_sum 'Pr2 Sm4 Si8 Pd4 Au4'
_cell_length_a 4.227
_cell_length_b 4.262
_cell_length_c 24.821
_cell_angle_alpha 90.00
_cell_angle_beta 90.00
_cell_angle_gamma 90.00
_space_group_name_H-M_alt 'I m m m'
_space_group_IT_number 71
_space_group_name_Hall '-I 2 2'
loop_
_atom_site_label
_atom_site_type_symbol
_atom_site_fract_x
_atom_site_fract_y
_atom_site_fract_z
Pr1 Pr 0.000 0.000 0.000
Sm1 Sm 0.000 0.500 0.146
Si1 Si 0.000 0.000 0.452
Si2 Si 0.000 0.500 0.310
Pd1 Pd 0.000 0.500 0.405
Au1 Au 0.000 0.000 0.249
```



Here is how they stack up, most stable first: a, b.